(1)
# CdPd2F8

A relaxed structure of CdPd2F8 (PBE-GGA, Alexandria).

Cell and atoms, written as POSCAR:
```
CdPd2F8
1.0
-1.5050 -3.8218 0.6575
5.4926 -1.4855 3.9315
-5.6733 2.7271 2.8673
F Pd Cd
8 2 1
Cartesian
1.4008 -1.0225 3.7385
-3.0862 -1.5579 3.7177
2.5394 -3.6155 4.2341
-1.3646 -0.3423 1.7624
-1.4434 0.2796 5.1972
-4.2250 1.0353 3.2222
-0.3210 -2.2380 5.6938
-0.2423 -2.8598 2.2591
-2.3326 0.3566 3.3882
0.6470 -2.9369 4.0680
-5.6732 2.7271 2.8673
```

Values from the calculation:
E_form (uncorrected), kJ/mol of atoms: -120
V, Å³ per cell: 172.3
E_tot, eV per cell: -39.91
Magnetization, Bohr magnetons per cell: 4.0

***

(2)
# RbCd2PdF8

A relaxed structure of RbCd2PdF8 (PBE-GGA, Alexandria).

Cell and atoms, written as POSCAR:
```
RbCd2PdF8
1.0
5.1474 0.0441 -0.0023
0.0945 5.3614 -0.0050
0.0054 0.0095 7.2775
Rb Cd Pd F
1 2 1 8
Cartesian
0.0027 0.0047 3.6387
2.6250 2.7098 5.5004
2.6222 2.7052 1.7697
0.0000 0.0000 0.0000
0.8607 4.1498 1.3804
3.5097 3.9136 7.2719
4.3821 1.2584 1.3811
4.3865 1.2652 5.8898
1.7375 1.5013 -0.0017
0.8652 4.1566 5.8890
3.0655 3.9026 3.6334
2.1817 1.5123 3.6368
```

Values from the calculation:
E_form (uncorrected), kJ/mol of atoms: -188
V, Å³ per cell: 200.8
E_tot, eV per cell: -46.32
Magnetization, Bohr magnetons per cell: 1.0

***

(3)
# Rb2CdPdF6

A relaxed structure of Rb2CdPdF6 (PBE-GGA, Alexandria).

Cell and atoms, written as POSCAR:
```
Rb2CdPdF6
1.0
6.0896 0.0000 0.0000
0.0000 6.0896 0.0000
3.0448 3.0448 5.0364
F Rb Pd Cd
6 2 1 1
Cartesian
3.0448 3.0448 2.9013
6.0896 6.0896 2.1351
1.6235 1.6235 0.0000
4.4660 4.4660 0.0000
4.4660 1.6235 0.0000
1.6235 4.4660 0.0000
6.0896 3.0448 2.5182
3.0448 6.0896 2.5182
3.0448 3.0448 0.0000
0.0000 0.0000 0.0000
```

Values from the calculation:
E_form (uncorrected), kJ/mol of atoms: -206
V, Å³ per cell: 186.8
E_tot, eV per cell: -40.57
Magnetization, Bohr magnetons per cell: 0.0

***

(4)
# Rb2CdPd3F12

A relaxed structure of Rb2CdPd3F12 (PBE-GGA, Alexandria).

Cell and atoms, written as POSCAR:
```
Rb2CdPd3F12
1.0
-0.4332 -2.3474 7.1467
3.2968 -6.6130 1.4741
6.4071 0.3501 3.9496
Rb Cd Pd F
2 1 3 12
Cartesian
5.9078 -5.4868 8.0105
3.3630 -3.1234 4.5600
0.0000 0.0000 0.0000
-0.2166 -1.1737 3.5734
1.6484 -3.3065 0.7370
3.2036 0.1751 1.9748
6.8277 -2.3875 6.2848
4.8469 -7.9898 9.1951
8.6339 -6.4964 7.4250
2.5355 -4.0802 8.2910
6.5688 -4.1348 10.5656
4.8760 -6.7569 4.7314
2.4430 -6.2227 6.2856
4.4239 -0.6204 3.3754
0.6369 -2.1138 5.1454
6.7353 -4.5300 4.2795
2.7019 -4.4754 2.0048
4.3948 -1.8533 7.8390
```

Values from the calculation:
E_form (uncorrected), kJ/mol of atoms: -172
V, Å³ per cell: 331.0
E_tot, eV per cell: -72.99
Magnetization, Bohr magnetons per cell: 0.0